## w
Entry from Alexandria via LeMat-Bulk: a geometry-optimized SrLi2Rh structure (GGA-PBE).

Values from the calculation:
V: 21.01 Å³ per atom
Total moment: 0.0 μB/cell

Cell lengths 4.5046, 5.8080, 6.4253 Å; angles 90.00, 90.00, 90.00 degrees
With the nearest neighbours (Å) after each atom.
Positions (direct):
Sr: 0.2500 0.2500 0.0866  4 Rh 3.12-3.19, 6 Li 3.40-3.42
Sr: 0.7500 0.7500 0.9134  4 Rh 3.12-3.19, 6 Li 3.40-3.42
Li: 0.2500 0.0249 0.5982  3 Li 2.60-2.62, 3 Rh 2.67-2.75
Li: 0.2500 0.4751 0.5982  3 Li 2.60-2.62, 3 Rh 2.67-2.75
Li: 0.7500 0.5249 0.4018  3 Li 2.60-2.62, 3 Rh 2.67-2.75
Li: 0.7500 0.9751 0.4018  3 Li 2.60-2.62, 3 Rh 2.67-2.75
Rh: 0.2500 0.7500 0.2652  6 Li 2.67-2.75
Rh: 0.7500 0.2500 0.7348  6 Li 2.67-2.75

***

## x
Entry from Alexandria via LeMat-Bulk: a geometry-optimized SrLi2Rh structure (GGA-PBE).

Values from the calculation:
V: 21.16 Å³ per atom
Total moment: 0.0 μB/cell

Cell lengths 8.3373, 4.0557, 5.3283 Å; angles 90.00, 110.03, 90.00 degrees
With the nearest neighbours (Å) after each atom.
Positions (direct):
Sr: 0.0000 0.0000 0.0000  8 Li 3.08-3.32, 4 Rh 3.35
Sr: 0.5000 0.5000 0.0000  8 Li 3.08-3.32, 4 Rh 3.35
Li: 0.2020 0.0000 0.6121  3 Rh 2.57-2.75, 2 Li 2.61
Li: 0.2980 0.5000 0.3879  3 Rh 2.57-2.75, 2 Li 2.61
Li: 0.7020 0.5000 0.6121  3 Rh 2.57-2.75, 2 Li 2.61
Li: 0.7980 0.0000 0.3879  3 Rh 2.57-2.75, 2 Li 2.61
Rh: 0.0000 0.5000 0.5000  6 Li 2.57-2.75
Rh: 0.5000 0.0000 0.5000  6 Li 2.57-2.75

***

Winner for stability: w

***

## w
Entry from Alexandria via LeMat-Bulk: a geometry-optimized SrLi2Rh structure (GGA-PBE).

Values from the calculation:
V: 22.02 Å³ per atom
Total moment: 0.0 μB/cell

Cell lengths 7.6396, 4.4109, 5.8172 Å; angles 90.00, 116.04, 90.00 degrees
With the nearest neighbours (Å) after each atom.
Positions (direct):
Sr: 0.0000 0.0000 0.0000  1 Li 2.99, 4 Rh 3.19-3.27
Sr: 0.5000 0.5000 0.0000  1 Li 2.99, 4 Rh 3.19-3.27
Li: 0.1903 0.0000 0.5715  3 Li 2.62, 3 Rh 2.72
Li: 0.4855 0.0000 0.4570  3 Rh 2.57, 3 Li 2.62
Li: 0.6903 0.5000 0.5715  3 Li 2.62, 3 Rh 2.72
Li: 0.9855 0.5000 0.4570  3 Rh 2.57, 3 Li 2.62
Rh: 0.2966 0.5000 0.3905  6 Li 2.57-2.72
Rh: 0.7966 0.0000 0.3905  6 Li 2.57-2.72

***

## x
Entry from Alexandria via LeMat-Bulk: a geometry-optimized SrLi2Rh structure (GGA-PBE).

Values from the calculation:
V: 19.27 Å³ per atom
Total moment: 0.0 μB/cell

Cell lengths 6.7558, 6.7558, 6.7558 Å; angles 90.00, 90.00, 90.00 degrees
With the nearest neighbours (Å) after each atom.
Positions (direct):
Sr: 0.0000 0.0000 0.0000  8 Li 2.93
Sr: 0.0000 0.5000 0.5000  8 Li 2.93
Sr: 0.5000 0.0000 0.5000  8 Li 2.93
Sr: 0.5000 0.5000 0.0000  8 Li 2.93
Li: 0.2500 0.2500 0.2500  4 Rh 2.93, 4 Sr 2.93
Li: 0.2500 0.2500 0.7500  4 Sr 2.93, 4 Rh 2.93
Li: 0.2500 0.7500 0.2500  4 Rh 2.93, 4 Sr 2.93
Li: 0.2500 0.7500 0.7500  4 Rh 2.93, 4 Sr 2.93
Li: 0.7500 0.2500 0.2500  4 Rh 2.93, 4 Sr 2.93
Li: 0.7500 0.2500 0.7500  4 Rh 2.93, 4 Sr 2.93
Li: 0.7500 0.7500 0.2500  4 Rh 2.93, 4 Sr 2.93
Li: 0.7500 0.7500 0.7500  4 Sr 2.93, 4 Rh 2.93
Rh: 0.0000 0.0000 0.5000  8 Li 2.93
Rh: 0.0000 0.5000 0.0000  8 Li 2.93
Rh: 0.5000 0.0000 0.0000  8 Li 2.93
Rh: 0.5000 0.5000 0.5000  8 Li 2.93

***

Winner for stability: w

***

## w
Entry from Alexandria via LeMat-Bulk: a geometry-optimized SrLi2Rh structure (GGA-PBE).

Values from the calculation:
V: 22.69 Å³ per atom
Total moment: 0.0 μB/cell

Cell lengths 4.3628, 4.3628, 19.0698 Å; angles 90.00, 90.00, 90.00 degrees
With the nearest neighbours (Å) after each atom.
Positions (direct):
Sr: 0.0000 0.0000 0.0000  4 Li 3.07, 4 Rh 3.08
Sr: 0.0000 0.5000 0.2500  4 Li 3.07, 4 Rh 3.08
Sr: 0.5000 0.0000 0.7500  4 Li 3.07, 4 Rh 3.08
Sr: 0.5000 0.5000 0.5000  4 Li 3.07, 4 Rh 3.08
Li: 0.1324 0.7500 0.6250  2 Li 2.47, 2 Rh 2.68
Li: 0.2500 0.1324 0.3750  2 Li 2.47, 2 Rh 2.68
Li: 0.2500 0.3676 0.8750  2 Li 2.47, 2 Rh 2.68
Li: 0.3676 0.7500 0.1250  2 Li 2.47, 2 Rh 2.68
Li: 0.6324 0.2500 0.1250  2 Li 2.47, 2 Rh 2.68
Li: 0.7500 0.6324 0.8750  2 Li 2.47, 2 Rh 2.68
Li: 0.7500 0.8676 0.3750  2 Li 2.47, 2 Rh 2.68
Li: 0.8676 0.2500 0.6250  2 Li 2.47, 2 Rh 2.68
Rh: 0.0000 0.0000 0.5000  4 Li 2.68
Rh: 0.0000 0.5000 0.7500  4 Li 2.68
Rh: 0.5000 0.0000 0.2500  4 Li 2.68
Rh: 0.5000 0.5000 0.0000  4 Li 2.68

***

## x
Entry from Alexandria via LeMat-Bulk: a geometry-optimized SrLi2Rh structure (GGA-PBE).

Values from the calculation:
V: 21.77 Å³ per atom
Total moment: 0.0 μB/cell

Cell lengths 5.7751, 10.3604, 3.5053 Å; angles 90.00, 123.86, 90.00 degrees
With the nearest neighbours (Å) after each atom.
Positions (direct):
Sr: 0.0000 0.0000 0.0000  4 Rh 2.89-3.06, 4 Li 3.01
Sr: 0.5000 0.5000 0.0000  4 Rh 2.89-3.06, 4 Li 3.01
Li: 0.2500 0.2500 0.5000  4 Li 2.89-3.06, 2 Rh 3.01, 2 Sr 3.01
Li: 0.2500 0.7500 0.5000  4 Li 2.89-3.06, 2 Rh 3.01, 2 Sr 3.01
Li: 0.7500 0.2500 0.5000  4 Li 2.89-3.06, 2 Rh 3.01, 2 Sr 3.01
Li: 0.7500 0.7500 0.5000  4 Li 2.89-3.06, 2 Rh 3.01, 2 Sr 3.01
Rh: 0.0000 0.5000 0.0000  4 Sr 2.89-3.06, 4 Li 3.01
Rh: 0.5000 0.0000 0.0000  4 Sr 2.89-3.06, 4 Li 3.01

***

## y
Entry from Alexandria via LeMat-Bulk: a geometry-optimized SrLi2Rh structure (GGA-PBE).

Values from the calculation:
V: 21.85 Å³ per atom
Total moment: 0.0 μB/cell

Cell lengths 3.4549, 4.9972, 10.1254 Å; angles 90.00, 90.00, 90.00 degrees
With the nearest neighbours (Å) after each atom.
Positions (direct):
Sr: 0.0000 0.0000 0.0000  4 Rh 3.04, 4 Li 3.23
Sr: 0.5000 0.5000 0.5000  4 Rh 3.04, 4 Li 3.23
Li: 0.0000 0.5000 0.2015  2 Rh 2.67
Li: 0.0000 0.5000 0.7985  2 Rh 2.67
Li: 0.5000 0.0000 0.2985  2 Rh 2.67
Li: 0.5000 0.0000 0.7015  2 Rh 2.67
Rh: 0.0000 0.0000 0.5000  4 Li 2.67
Rh: 0.5000 0.5000 0.0000  4 Li 2.67

***

Winner for stability: y

***

## w
Entry from Alexandria via LeMat-Bulk: a geometry-optimized SrLi2Rh structure (GGA-PBE).

Values from the calculation:
V: 22.25 Å³ per atom
Total moment: 0.0 μB/cell

Cell lengths 3.4684, 3.4684, 7.3989 Å; angles 90.00, 90.00, 90.00 degrees
With the nearest neighbours (Å) after each atom.
Positions (direct):
Sr: 0.0000 0.0000 0.0000  1 Li 2.98, 4 Rh 3.07
Li: 0.0000 0.0000 0.5974  4 Rh 2.70, 4 Li 2.85, 1 Sr 2.98
Li: 0.5000 0.5000 0.4001  1 Rh 2.59, 4 Li 2.85
Rh: 0.5000 0.5000 0.7500  5 Li 2.59-2.70

***

## x
Entry from Alexandria via LeMat-Bulk: a geometry-optimized SrLi2Rh structure (GGA-PBE).

Values from the calculation:
V: 19.83 Å³ per atom
Total moment: 0.0 μB/cell

Cell lengths 4.3602, 4.3602, 8.3460 Å; angles 90.00, 90.00, 90.00 degrees
With the nearest neighbours (Å) after each atom.
Positions (direct):
Sr: 0.0000 0.0000 0.0000  8 Li 3.02, 4 Rh 3.08
Sr: 0.5000 0.5000 0.5000  8 Li 3.02, 4 Rh 3.08
Li: 0.0000 0.5000 0.2500  4 Rh 3.02, 4 Sr 3.02, 4 Li 3.08
Li: 0.0000 0.5000 0.7500  4 Rh 3.02, 4 Sr 3.02, 4 Li 3.08
Li: 0.5000 0.0000 0.2500  4 Rh 3.02, 4 Sr 3.02, 4 Li 3.08
Li: 0.5000 0.0000 0.7500  4 Rh 3.02, 4 Sr 3.02, 4 Li 3.08
Rh: 0.0000 0.0000 0.5000  8 Li 3.02, 4 Sr 3.08
Rh: 0.5000 0.5000 0.0000  8 Li 3.02, 4 Sr 3.08

***

## y
Entry from Alexandria via LeMat-Bulk: a geometry-optimized SrLi2Rh structure (GGA-PBE).

Values from the calculation:
V: 21.50 Å³ per atom
Total moment: 0.0 μB/cell

Cell lengths 3.4848, 4.7043, 5.3118 Å; angles 90.00, 99.05, 90.00 degrees
With the nearest neighbours (Å) after each atom.
Positions (direct):
Sr: 0.0000 0.0000 0.0000  2 Rh 2.94, 4 Li 3.20
Li: 0.2946 0.5000 0.6684  2 Li 2.46-2.50, 2 Rh 2.65
Li: 0.7054 0.5000 0.3316  2 Li 2.46-2.50, 2 Rh 2.65
Rh: 0.5000 0.0000 0.5000  4 Li 2.65, 2 Sr 2.94

***

Winner for stability: w